No. 1
DFT (GGA-PBE) results for NaAcAu after structural relaxation.

Cell and atoms, written as POSCAR:
```
NaAcAu
1.0
3.966 0.000 0.000
0.000 3.966 0.000
-1.983 -1.983 6.062
Na Au Ac
1 1 1
direct
0.025 0.025 0.050
0.674 0.674 0.347
0.302 0.302 0.603
```

crystal system: tetragonal
energy relative to the elements: -30.9 kJ/mol of atoms
symmetry: I4mm, No. 107
total moment: 0.00 μB per cell
excess energy over the best structure of this formula in the dataset: 146.9 meV/atom

No. 2
DFT (GGA-PBE) results for Na2AcAu9 after structural relaxation.

Cell and atoms, written as POSCAR:
```
Na2AcAu9
1.0
-1.287 1.170 -5.344
3.225 -1.966 -4.161
-4.694 -8.112 -3.600
Na Au Ac
2 9 1
direct
0.147 0.147 0.558
0.853 0.853 0.442
0.414 0.916 0.256
0.586 0.586 0.744
0.916 0.414 0.256
0.500 0.500 0.500
0.332 0.332 0.003
0.414 0.414 0.256
0.084 0.586 0.744
0.586 0.084 0.744
0.668 0.668 0.997
0.000 0.000 0.000
```

crystal system: trigonal
energy relative to the elements: -40.0 kJ/mol of atoms
symmetry: R-3m, No. 166
total moment: 0.00 μB per cell

No. 3
DFT (GGA-PBE) results for NaAcAu after structural relaxation.

Cell and atoms, written as POSCAR:
```
NaAcAu
1.0
5.225 0.000 0.000
2.612 4.525 0.000
2.612 1.508 4.266
Au Na Ac
1 1 1
direct
0.250 0.250 0.250
0.500 0.500 0.500
0.000 0.000 0.000
```

crystal system: cubic
energy relative to the elements: -36.5 kJ/mol of atoms
symmetry: F-43m, No. 216
total moment: 0.00 μB per cell
excess energy over the best structure of this formula in the dataset: 89.1 meV/atom

No. 4
DFT (GGA-PBE) results for Na3Ac2AuO6 after structural relaxation.

Cell and atoms, written as POSCAR:
```
Na3Ac2AuO6
1.0
-4.185 -4.064 2.255
5.948 -0.287 1.912
-1.741 4.942 3.001
O Na Au Ac
6 3 1 2
direct
0.783 0.783 0.198
0.579 0.914 0.752
0.217 0.217 0.802
0.086 0.421 0.248
0.914 0.579 0.752
0.421 0.086 0.248
0.153 0.847 0.500
0.500 0.500 0.500
0.847 0.153 0.500
0.000 0.000 0.000
0.327 0.673 0.000
0.673 0.327 0.000
```

crystal system: monoclinic
raw formation energy: -1.81 eV/atom
symmetry: C2/m, No. 12
total moment: 0.00 μB per cell

No. 5
DFT (GGA-PBE) results for NaAcAuO3 after structural relaxation.

Cell and atoms, written as POSCAR:
```
NaAcAuO3
1.0
-2.803 2.070 0.079
-2.177 -3.253 7.974
4.188 5.613 1.483
O Ac Au Na
6 2 2 2
direct
0.750 0.237 0.517
0.250 0.635 0.874
0.250 0.763 0.483
0.750 0.365 0.126
0.750 0.970 0.143
0.250 0.030 0.857
0.750 0.804 0.804
0.250 0.196 0.196
0.250 0.146 0.643
0.750 0.854 0.357
0.250 0.568 0.175
0.750 0.432 0.825
```

crystal system: monoclinic
raw formation energy: -1.55 eV/atom
symmetry: P2_1/m, No. 11
total moment: 0.00 μB per cell

No. 6
DFT (GGA-PBE) results for Na4Ac3AuO8 after structural relaxation.

Cell and atoms, written as POSCAR:
```
Na4Ac3AuO8
1.0
7.084 0.000 0.000
0.000 6.839 -0.139
-3.542 -3.503 5.844
Au O Na Ac
1 8 4 3
direct
0.000 0.500 0.000
0.696 0.212 0.392
0.717 0.718 0.434
0.766 0.683 0.946
0.304 0.788 0.608
0.820 0.317 0.054
0.283 0.282 0.566
0.234 0.317 0.054
0.180 0.683 0.946
0.000 0.000 0.500
0.000 0.000 0.000
0.500 0.000 0.000
0.500 0.000 0.500
0.500 0.500 0.500
0.000 0.500 0.500
0.500 0.500 0.000
```

crystal system: monoclinic
raw formation energy: -2.06 eV/atom
symmetry: C2/m, No. 12
total moment: 0.00 μB per cell

No. 7
DFT (GGA-PBE) results for Na2AcAuO4 after structural relaxation.

Cell and atoms, written as POSCAR:
```
Na2AcAuO4
1.0
-2.000 5.200 1.988
-4.588 2.400 -2.095
-3.591 0.354 4.264
Au O Na Ac
1 4 2 1
direct
0.000 0.500 0.500
0.331 0.087 0.516
0.065 0.516 0.087
0.935 0.913 0.484
0.669 0.484 0.913
0.500 0.726 0.274
0.500 0.274 0.726
0.000 0.000 0.000
```

crystal system: orthorhombic
raw formation energy: -1.31 eV/atom
symmetry: I222, No. 23
total moment: 0.00 μB per cell

No. 8
DFT (GGA-PBE) results for NaAc2AuO6 after structural relaxation.

Cell and atoms, written as POSCAR:
```
NaAc2AuO6
1.0
4.315 0.000 0.000
0.000 5.850 0.000
0.000 0.000 5.850
O Au Ac Na
6 1 2 1
direct
0.688 0.241 0.759
0.688 0.241 0.241
0.168 0.000 0.000
0.123 0.500 0.500
0.688 0.759 0.759
0.688 0.759 0.241
0.663 0.000 0.000
0.066 0.500 0.000
0.066 0.000 0.500
0.610 0.500 0.500
```

crystal system: tetragonal
raw formation energy: -1.76 eV/atom
symmetry: P4mm, No. 99
total moment: 0.56 μB per cell

no.,total energy (eV per atom)
1,-3.22
2,-3.43
3,-3.28
4,-5.58
5,-5.48
6,-5.84
7,-5.05
8,-6.02